This record from the Alexandria database describes a relaxed Ca2Dy4N crystal. The functional is PBE.

Unit cell a=4.872 b=4.872 c=18.450 alpha=90.00 beta=90.00 gamma=90.00
Space group I4/mmm (No. 139)
Inequivalent atoms, fractional coordinates:
Ca 0.000 0.000 0.171
Dy 0.000 0.000 0.375
Dy 0.000 0.500 0.000
N 0.000 0.000 0.500

Output
**D(E_F)**: 23.61 states/eV/cell
**Uncorrected formation energy**: -242 meV/atom
**Volume**: 31.28 Å³/atom

This record from the Alexandria database describes a relaxed Ca3Dy2NbN6 crystal. The functional is PBE.

Unit cell a=5.890 b=10.208 c=5.978 alpha=90.00 beta=109.24 gamma=90.00
Space group C2/m (No. 12)
Inequivalent atoms, fractional coordinates:
Ca 0.000 0.000 0.000
Ca 0.000 0.336 0.000
Dy 0.000 0.167 0.500
Nb 0.000 0.500 0.500
N 0.227 0.346 0.722
N 0.234 0.500 0.282

Output
**D(E_F)**: 17.64 states/eV/cell
**Uncorrected formation energy**: -1205 meV/atom
**Volume**: 14.14 Å³/atom

This record from the Alexandria database describes a relaxed Ca2DyNbN4 crystal. The functional is PBE.

Unit cell a=5.826 b=3.337 c=5.932 alpha=90.00 beta=108.92 gamma=90.00
Space group P2/m (No. 10)
Inequivalent atoms, fractional coordinates:
Ca 0.000 0.000 0.000
Ca 0.500 0.500 0.000
Dy 0.000 0.500 0.500
Nb 0.500 0.000 0.500
N 0.268 0.000 0.716
N 0.278 0.500 0.284

Output
**D(E_F)**: 0.24 states/eV/cell
**Uncorrected formation energy**: -1237 meV/atom
**Volume**: 13.64 Å³/atom

This record from the Alexandria database describes a relaxed Ca2DyNpN4 crystal. The functional is PBE.

Unit cell a=5.978 b=3.503 c=6.016 alpha=90.00 beta=108.74 gamma=90.00
Space group P2/m (No. 10)
Inequivalent atoms, fractional coordinates:
Ca 0.000 0.000 0.000
Ca 0.500 0.500 0.000
Dy 0.000 0.500 0.500
Np 0.500 0.000 0.500
N 0.265 0.000 0.713
N 0.269 0.500 0.279

Output
**D(E_F)**: 3.86 states/eV/cell
**Uncorrected formation energy**: -1309 meV/atom
**Volume**: 14.91 Å³/atom

This record from the Alexandria database describes a relaxed Ca3DyNp3N8 crystal. The functional is PBE.

Unit cell a=6.9102 b=6.9102 c=17.0473 alpha=90.00 beta=90.00 gamma=120.00
Space group R-3m (No. 166, hexagonal axes)
Inequivalent atoms, fractional coordinates:
Ca 0.0000 0.5000 0.0000
Dy 0.0000 0.0000 0.5000
Np 0.0000 0.5000 0.5000
N 0.0000 0.0000 0.2422
N 0.0125 0.5063 0.7688

Output
**D(E_F)**: 39.03 states/eV/cell
**Uncorrected formation energy**: -1091 meV/atom
**Volume**: 15.67 Å³/atom

This record from the Alexandria database describes a relaxed Ca3Dy2NpN6 crystal. The functional is PBE.

Unit cell a=6.006 b=10.407 c=6.043 alpha=90.00 beta=109.43 gamma=90.00
Space group C2/m (No. 12)
Inequivalent atoms, fractional coordinates:
Ca 0.000 0.000 0.000
Ca 0.000 0.334 0.000
Dy 0.000 0.167 0.500
Np 0.000 0.500 0.500
N 0.227 0.346 0.720
N 0.234 0.500 0.287

Output
**D(E_F)**: 0.36 states/eV/cell
**Uncorrected formation energy**: -1371 meV/atom
**Volume**: 14.84 Å³/atom

This record from the Alexandria database describes a relaxed Ca4DyNp3N8 crystal. The functional is PBE.

Unit cell a=6.9633 b=6.9633 c=17.0909 alpha=90.00 beta=90.00 gamma=120.00
Space group R-3m (No. 166, hexagonal axes)
Inequivalent atoms, fractional coordinates:
Ca 0.0000 0.0000 0.0000
Ca 0.0000 0.5000 0.0000
Dy 0.0000 0.0000 0.5000
Np 0.0000 0.5000 0.5000
N 0.0000 0.0000 0.2397
N 0.0138 0.5069 0.7620

Output
**D(E_F)**: 56.65 states/eV/cell
**Uncorrected formation energy**: -1233 meV/atom
**Volume**: 14.95 Å³/atom

This record from the Alexandria database describes a relaxed Ca3DyNp2N6 crystal. The functional is PBE.

Unit cell a=15.085 b=3.498 c=6.996 alpha=90.00 beta=103.68 gamma=90.00
Space group C2/m (No. 12)
Inequivalent atoms, fractional coordinates:
Ca 0.000 0.000 0.000
Ca 0.166 0.500 0.333
Dy 0.000 0.000 0.500
Np 0.165 0.500 0.830
N 0.015 0.500 0.748
N 0.164 0.000 0.609
N 0.177 0.000 0.065

Output
**D(E_F)**: 21.55 states/eV/cell
**Uncorrected formation energy**: -1260 meV/atom
**Volume**: 14.94 Å³/atom

This record from the Alexandria database describes a relaxed CaDyPa2N4 crystal. The functional is PBE.

Unit cell a=4.928 b=4.928 c=9.919 alpha=90.00 beta=90.00 gamma=90.00
Space group I-4m2 (No. 119)
Inequivalent atoms, fractional coordinates:
Ca 0.000 0.000 0.000
Dy 0.000 0.500 0.750
Pa 0.000 0.000 0.500
Pa 0.000 0.500 0.250
N 0.000 0.000 0.263
N 0.000 0.500 0.011

Output
**D(E_F)**: 9.51 states/eV/cell
**Uncorrected formation energy**: -1528 meV/atom
**Volume**: 15.05 Å³/atom

This record from the Alexandria database describes a relaxed CaDy3Pa2N6 crystal. The functional is PBE.

Unit cell a=15.127 b=3.501 c=6.990 alpha=90.00 beta=103.49 gamma=90.00
Space group C2/m (No. 12)
Inequivalent atoms, fractional coordinates:
Ca 0.000 0.000 0.000
Dy 0.000 0.000 0.500
Dy 0.165 0.500 0.834
Pa 0.164 0.500 0.330
N 0.011 0.500 0.265
N 0.167 0.000 0.579
N 0.169 0.000 0.096

Output
**D(E_F)**: 10.21 states/eV/cell
**Uncorrected formation energy**: -1607 meV/atom
**Volume**: 15.00 Å³/atom

This record from the Alexandria database describes a relaxed Ca3DyPa2N6 crystal. The functional is PBE.

Unit cell a=15.215 b=3.557 c=7.030 alpha=90.00 beta=102.97 gamma=90.00
Space group C2/m (No. 12)
Inequivalent atoms, fractional coordinates:
Ca 0.000 0.000 0.000
Ca 0.165 0.500 0.333
Dy 0.000 0.000 0.500
Pa 0.164 0.500 0.827
N 0.012 0.500 0.746
N 0.163 0.000 0.607
N 0.176 0.000 0.060

Output
**D(E_F)**: 10.10 states/eV/cell
**Uncorrected formation energy**: -1491 meV/atom
**Volume**: 15.45 Å³/atom

This record from the Alexandria database describes a relaxed Ca3Dy2PaN6 crystal. The functional is PBE.

Unit cell a=6.078 b=10.535 c=6.074 alpha=90.00 beta=109.49 gamma=90.00
Space group C2/m (No. 12)
Inequivalent atoms, fractional coordinates:
Ca 0.000 0.000 0.000
Ca 0.000 0.332 0.000
Dy 0.000 0.167 0.500
Pa 0.000 0.500 0.500
N 0.234 0.341 0.723
N 0.244 0.500 0.280

Output
**D(E_F)**: 26.76 states/eV/cell
**Uncorrected formation energy**: -1372 meV/atom
**Volume**: 15.28 Å³/atom

Number 1: size of the total moment 0.01 Bohr magnetons per cell. Number 2: size of the total moment 0.00 Bohr magnetons per cell. Number 3: size of the total moment 0.00 Bohr magnetons per cell. Number 4: size of the total moment 2.00 Bohr magnetons per cell. Number 5: size of the total moment 18.00 Bohr magnetons per cell. Number 6: size of the total moment 2.00 Bohr magnetons per cell. Number 7: size of the total moment 24.01 Bohr magnetons per cell. Number 8: size of the total moment 10.01 Bohr magnetons per cell. Number 9: size of the total moment 0.00 Bohr magnetons per cell. Number 10: size of the total moment 0.00 Bohr magnetons per cell. Number 11: size of the total moment 0.00 Bohr magnetons per cell. Number 12: size of the total moment 1.87 Bohr magnetons per cell.